Entry 1:
A plane-wave DFT calculation with PBEsol was carried out for a relaxed BeTlCo2 crystal.

```
BeTlCo2
1.0
-0.310 0.685 -2.715
2.457 -1.244 -0.594
-2.920 -5.291 -1.002
Be Tl Co
1 1 2
direct
0.500 0.500 0.500
0.500 0.500 0.000
0.000 0.000 0.692
0.000 0.000 0.308
```

Its electronic total energy is -20.98 eV/cell. For the formation energy, the calculation gives 27 kJ/mol of atoms. For the excess energy over the best structure of this formula in the dataset, the calculation gives 0 meV per atom. As for the symmetry: P4/mmm, No. 123.

***

Entry 2:
A plane-wave DFT calculation with PBEsol was carried out for a relaxed BeTlCo2 crystal.

```
BeTlCo2
1.0
3.758 0.000 0.000
0.000 3.758 0.000
-1.879 -1.879 8.150
Be Tl Co
2 2 4
direct
0.750 0.250 0.500
0.500 0.500 0.000
0.250 0.750 0.500
0.000 0.000 0.000
0.770 0.875 0.250
0.480 0.375 0.250
0.125 0.520 0.750
0.625 0.230 0.750
```

Its electronic total energy is -39.02 eV/cell. For the formation energy, the calculation gives 63 kJ/mol of atoms. For the excess energy over the best structure of this formula in the dataset, the calculation gives 369 meV per atom. As for the symmetry: I-42d, No. 122.

***

Entry 3:
A plane-wave DFT calculation with PBEsol was carried out for a relaxed BeVCo2 crystal.

```
BeVCo2
1.0
3.833 0.000 0.000
1.916 3.319 0.000
1.916 1.106 3.130
Be Co V
1 2 1
direct
0.000 0.000 0.000
0.250 0.250 0.250
0.750 0.750 0.750
0.500 0.500 0.500
```

Its electronic total energy is -30.38 eV/cell. For the formation energy, the calculation gives -31 kJ/mol of atoms. As for the symmetry: Fm-3m, No. 225.

***

Entry 4:
A plane-wave DFT calculation with PBEsol was carried out for a relaxed BeCo2W crystal.

```
BeCo2W
1.0
3.425 0.000 0.000
0.000 3.425 0.000
-1.713 -1.713 3.726
Be Co W
1 2 1
direct
0.250 0.750 0.500
0.000 0.000 0.000
0.750 0.250 0.500
0.500 0.500 0.000
```

Its electronic total energy is -33.33 eV/cell. For the formation energy, the calculation gives -1 kJ/mol of atoms. As for the symmetry: I-4m2, No. 119.

***

Entry 5:
A plane-wave DFT calculation with PBEsol was carried out for a relaxed BeCo2W crystal.

```
BeCo2W
1.0
2.647 0.000 0.000
0.000 2.647 0.000
0.000 0.000 6.073
Be Co W
1 2 1
direct
0.500 0.500 0.500
0.000 0.000 0.709
0.000 0.000 0.291
0.500 0.500 0.000
```

Its electronic total energy is -34.00 eV/cell. For the formation energy, the calculation gives -17 kJ/mol of atoms. As for the symmetry: P4/mmm, No. 123.

***

Entry 6:
A plane-wave DFT calculation with PBEsol was carried out for a relaxed Be2CoW crystal.

```
Be2CoW
1.0
2.512 -0.003 -0.005
-0.646 4.391 -0.012
-0.646 -1.892 3.962
Be Co W
2 1 1
direct
0.000 0.500 0.000
0.000 0.000 0.500
0.500 0.000 0.000
0.500 0.500 0.500
```

Its electronic total energy is -28.81 eV/cell. For the formation energy, the calculation gives 18 kJ/mol of atoms. For the excess energy over the best structure of this formula in the dataset, the calculation gives 105 meV per atom. As for the symmetry: C2/m, No. 12.

***

Entry 7:
A plane-wave DFT calculation with PBEsol was carried out for a relaxed BeCo2W crystal.

```
BeCo2W
1.0
-1.855 1.588 -1.022
-1.195 -2.434 5.240
2.870 2.946 -0.630
Be Co W
1 2 1
direct
0.500 0.000 0.000
0.500 0.500 0.500
0.000 0.000 0.500
0.000 0.500 0.000
```

Its electronic total energy is -33.05 eV/cell. For the formation energy, the calculation gives 5 kJ/mol of atoms. As for the symmetry: Cmmm, No. 65.

***

Entry 8:
A plane-wave DFT calculation with PBEsol was carried out for a relaxed Be2CoW crystal.

```
Be2CoW
1.0
-1.153 -0.157 -3.282
-3.236 -0.598 1.166
-0.616 3.436 0.052
Be Co W
2 1 1
direct
0.000 0.000 0.500
0.000 0.500 0.000
0.500 0.500 0.500
0.500 0.000 0.000
```

Its electronic total energy is -29.22 eV/cell. For the formation energy, the calculation gives 8 kJ/mol of atoms. For the excess energy over the best structure of this formula in the dataset, the calculation gives 0 meV per atom. As for the symmetry: P4/mmm, No. 123.